1.
The following is a PBE calculation of a relaxed KSiSb2I crystal, from the Alexandria database.

Calculated values
Total DFT energy (no corrections) ... -1.91 eV/atom
Space group ... P4/mmm

a = 6.074 Å, b = 6.074 Å, c = 6.050 Å
α = 90.00°, β = 90.00°, γ = 90.00°
Site moments in Bohr magnetons follow the coordinates.
Fractional positions:
1 Si 0.500 0.500 0.500  -0.24
2 Sb 0.500 0.000 0.000  0.41
3 Sb 0.000 0.500 0.000  0.41
4 K 0.000 0.000 0.000  0.04
5 I 0.000 0.000 0.500  0.13

2.
The following is a PBE calculation of a relaxed KLiTe2N crystal, from the Alexandria database.

Calculated values
Total DFT energy (no corrections) ... -2.45 eV/atom
Space group ... P4/mmm

a = 6.360 Å, b = 6.360 Å, c = 5.111 Å
α = 90.00°, β = 90.00°, γ = 90.00°
Site moments in Bohr magnetons follow the coordinates.
Fractional positions:
1 K 0.000 0.000 0.000  0.05
2 N 0.000 0.000 0.500  1.74
3 Li 0.500 0.500 0.500  0.00
4 Te 0.000 0.500 0.000  0.53
5 Te 0.500 0.000 0.000  0.53

3.
The following is a PBE calculation of a relaxed HfCoB crystal, from the Alexandria database.

Calculated values
DFT formation energy ... -0.444 eV/atom
Space group ... P-6m2

a = 3.393 Å, b = 3.571 Å, c = 3.571 Å
α = 120.00°, β = 90.00°, γ = 90.00°
Fractional positions:
1 B 0.167 0.000 0.000
2 Co 0.167 0.333 0.667
3 Hf 0.667 0.667 0.333

4.
The following is a PBE calculation of a relaxed LuCdNiPt crystal, from the Alexandria database.

Calculated values
DFT formation energy ... -0.599 eV/atom
Space group ... F-43m

a = 4.653 Å, b = 4.653 Å, c = 4.653 Å
α = 60.00°, β = 60.00°, γ = 60.00°
Fractional positions:
1 Ni 0.250 0.250 0.250
2 Cd 0.500 0.500 0.500
3 Lu 0.000 0.000 0.000
4 Pt 0.750 0.750 0.750

5.
The following is a PBE calculation of a relaxed Ba2CoPt crystal, from the Alexandria database.

Calculated values
DFT formation energy ... -0.145 eV/atom
Space group ... Imm2

a = 8.342 Å, b = 8.342 Å, c = 8.342 Å
α = 149.07°, β = 148.82°, γ = 44.49°
Site moments in Bohr magnetons follow the coordinates.
Fractional positions:
1 Ba 0.993 0.993 0.000  -0.05
2 Ba 0.760 0.260 0.500  -0.06
3 Co 0.399 0.399 0.000  1.08
4 Pt 0.348 0.848 0.500  0.12

6.
The following is a PBE calculation of a relaxed SbMoSe2 crystal, from the Alexandria database.

Calculated values
Total DFT energy (no corrections) ... -5.37 eV/atom
Space group ... C2/m

a = 4.420 Å, b = 4.420 Å, c = 6.316 Å
α = 83.29°, β = 83.29°, γ = 43.93°
Fractional positions:
1 Mo 0.750 0.750 0.750
2 Se 0.466 0.466 0.559
3 Se 0.034 0.034 0.941
4 Sb 0.250 0.250 0.250